Below is ErTh2Au6 after structural relaxation, with properties calculated at the GGA-PBE level.

POSCAR file:
```
ErTh2Au6
1.0
5.4286 0.0000 0.0000
0.0000 5.7932 -3.3447
0.0000 0.0000 6.6894
Th Au Er
2 6 1
Cartesian
1.8078 3.8621 0.0000
3.6208 1.9311 3.3447
4.4582 4.6981 1.4480
4.4582 4.6981 -1.4480
0.9704 1.0951 4.7927
4.4582 2.1901 0.0000
0.9704 3.6031 3.3447
0.9704 1.0951 1.8967
2.7143 0.0000 0.0000
```

Calculated values
The total magnetic moment comes out at 0.00 μB/f.u. Its space group is No. 164. The value obtained for the total DFT energy (no corrections) is -4.924 eV/atom.